(1)
## TmAgGe2 (PBE-GGA)

Data for a relaxed TmAgGe2 crystal.

Its crystal system is tetragonal. The formation energy is -36.9 kJ per mole of atoms. As for the magnetization: 0.0 μB per formula unit.

The space group is P4/mmm (No. 123) and the conventional cell measures 4.376, 4.376 and 4.094 Å, with angles of 90.00, 90.00 and 90.00 degrees. The inequivalent atoms are Tm at (0.000, 0.000, 0.000), Ag at (0.500, 0.500, 0.000) and Ge at (0.000, 0.500, 0.500).

(2)
## TmAg2Ge (PBE-GGA)

Data for a relaxed TmAg2Ge crystal.

Its crystal system is trigonal. The formation energy is 26.5 kJ per mole of atoms. As for the magnetization: 0.0 μB per formula unit.

The space group is R-3m (No. 166, hexagonal axes) and the conventional cell measures 3.0791, 3.0791 and 31.4331 Å, with angles of 90.00, 90.00 and 120.00 degrees. The inequivalent atoms are Tm at (0.0000, 0.0000, 0.0000), Ag at (0.0000, 0.0000, 0.0922) and Ge at (0.0000, 0.0000, 0.5000).

(3)
## TmAg2Ge (PBE-GGA)

Data for a relaxed TmAg2Ge crystal.

Its crystal system is tetragonal. The formation energy is -27.2 kJ per mole of atoms. As for the magnetization: 0.0 μB per formula unit.

The space group is P4/mmm (No. 123) and the conventional cell measures 4.137, 4.137 and 4.719 Å, with angles of 90.00, 90.00 and 90.00 degrees. The inequivalent atoms are Tm at (0.000, 0.000, 0.000), Ag at (0.000, 0.500, 0.500) and Ge at (0.500, 0.500, 0.000).

(4)
## TmAgGe2 (PBE-GGA)

Data for a relaxed TmAgGe2 crystal.

Its crystal system is trigonal. The formation energy is -25.4 kJ per mole of atoms. As for the magnetization: 0.0 μB per formula unit.

The space group is R-3m (No. 166, hexagonal axes) and the conventional cell measures 4.3588, 4.3588 and 14.8769 Å, with angles of 90.00, 90.00 and 120.00 degrees. The inequivalent atoms are Tm at (0.0000, 0.0000, 0.0000), Ag at (0.0000, 0.0000, 0.5000) and Ge at (0.0000, 0.0000, 0.2352).

(5)
## Tm2AgGe2 (PBE-GGA)

Data for a relaxed Tm2AgGe2 crystal.

Its crystal system is tetragonal. The formation energy is -66.3 kJ per mole of atoms. As for the magnetization: 0.0 μB per formula unit.

The space group is P4/mnc (No. 128) and the conventional cell measures 7.069, 7.069 and 8.438 Å, with angles of 90.00, 90.00 and 90.00 degrees. The inequivalent atoms are Tm at (0.175, 0.325, 0.000), Ag at (0.000, 0.000, 0.250) and Ge at (0.127, 0.627, 0.250).

(6)
## TmZnAgGe (PBE-GGA)

Data for a relaxed TmZnAgGe crystal.

Its crystal system is cubic. The formation energy is -28.4 kJ per mole of atoms. As for the magnetization: 0.0 μB per formula unit.

The space group is F-43m (No. 216) and the conventional cell measures 6.751, 6.751 and 6.751 Å, with angles of 90.00, 90.00 and 90.00 degrees. The inequivalent atoms are Tm at (0.000, 0.000, 0.000), Zn at (0.250, 0.250, 0.750), Ag at (0.000, 0.000, 0.500) and Ge at (0.250, 0.250, 0.250).

(7)
## UAgGe (PBE-GGA)

Data for a relaxed UAgGe crystal.

Its crystal system is trigonal. The formation energy is 18.3 kJ per mole of atoms. As for the magnetization: 2.0 μB per formula unit.

The space group is R-3m (No. 166, hexagonal axes) and the conventional cell measures 4.5414, 4.5414 and 21.6272 Å, with angles of 90.00, 90.00 and 120.00 degrees. The inequivalent atoms are U at (0.0000, 0.0000, 0.1527), Ag at (0.0000, 0.0000, 0.2985) and Ge at (0.0000, 0.0000, 0.4220).

(8)
## VAgGe2 (PBE-GGA)

Data for a relaxed VAgGe2 crystal.

Its crystal system is tetragonal. The formation energy is 43.0 kJ per mole of atoms. As for the magnetization: 1.9 μB per formula unit.

The space group is I-42d (No. 122) and the conventional cell measures 7.100, 7.100 and 5.752 Å, with angles of 90.00, 90.00 and 90.00 degrees. The inequivalent atoms are V at (0.000, 0.000, 0.000), Ag at (0.000, 0.000, 0.500) and Ge at (0.244, 0.250, 0.125).

(9)
## VAgGe3 (PBE-GGA)

Data for a relaxed VAgGe3 crystal.

Its crystal system is cubic. The formation energy is 35.4 kJ per mole of atoms. As for the magnetization: 0.0 μB per formula unit.

The space group is Pm-3m (No. 221) and the conventional cell measures 4.757, 4.757 and 4.757 Å, with angles of 90.00, 90.00 and 90.00 degrees. The inequivalent atoms are V at (0.000, 0.000, 0.000), Ag at (0.500, 0.500, 0.500) and Ge at (0.000, 0.000, 0.500).

(10)
## VAg3Ge (PBE-GGA)

Data for a relaxed VAg3Ge crystal.

Its crystal system is cubic. The formation energy is 118.4 kJ per mole of atoms. As for the magnetization: 3.3 μB per formula unit.

The space group is Pm-3m (No. 221) and the conventional cell measures 4.967, 4.967 and 4.967 Å, with angles of 90.00, 90.00 and 90.00 degrees. The inequivalent atoms are V at (0.000, 0.000, 0.000), Ag at (0.000, 0.000, 0.500) and Ge at (0.500, 0.500, 0.500).

(11)
## VAgGe2 (PBE-GGA)

Data for a relaxed VAgGe2 crystal.

Its crystal system is cubic. The formation energy is 29.4 kJ per mole of atoms. As for the magnetization: 2.7 μB per formula unit.

The space group is Fm-3m (No. 225) and the conventional cell measures 6.502, 6.502 and 6.502 Å, with angles of 90.00, 90.00 and 90.00 degrees. The inequivalent atoms are V at (0.000, 0.000, 0.000), Ag at (0.000, 0.000, 0.500) and Ge at (0.250, 0.250, 0.250).

(12)
## VAg3Ge (PBE-GGA)

Data for a relaxed VAg3Ge crystal.

Its crystal system is cubic. The formation energy is 77.4 kJ per mole of atoms. As for the magnetization: 3.7 μB per formula unit.

The space group is Pm-3m (No. 221) and the conventional cell measures 4.829, 4.829 and 4.829 Å, with angles of 90.00, 90.00 and 90.00 degrees. The inequivalent atoms are V at (0.000, 0.000, 0.000), Ag at (0.000, 0.500, 0.500) and Ge at (0.500, 0.500, 0.500).